An optimized crystal structure of FeMo2Au, computed with PBE.

Lattice parameters (Å, degrees): 2.677 2.677 8.771 90.00 90.00 103.31
Each line ends with the local moment (μB).
Element x y z (fractional)
Au  0.500  0.500  0.250  0.01
Fe  0.500  0.500  0.750  2.22
Mo  0.000  0.000  0.980  -0.05
Mo  0.000  0.000  0.520  -0.05

Properties
- energy above the lowest structure with this stoichiometry (kJ/mol of formula units) = 24
- energy relative to the elements (eV/atom) = 0.225
- density (g/cm3) = 12.072
- M_tot (μB/f.u.) = 2.13
- DOS at the Fermi energy (states/eV/f.u.) = 3.219

***

An optimized crystal structure of FeMo2Au, computed with PBE.

Lattice parameters (Å, degrees): 4.425 2.668 5.257 82.52 90.00 90.00
Each line ends with the local moment (μB).
Element x y z (fractional)
Au  0.000  0.630  0.500  0.01
Fe  0.500  0.660  0.774  2.44
Mo  0.000  0.994  0.979  -0.09
Mo  0.500  0.216  0.247  -0.06

Properties
- energy above the lowest structure with this stoichiometry (kJ/mol of formula units) = 25
- energy relative to the elements (eV/atom) = 0.228
- density (g/cm3) = 12.000
- M_tot (μB/f.u.) = 2.27
- DOS at the Fermi energy (states/eV/f.u.) = 3.276

***

An optimized crystal structure of FeMoAu, computed with PBE.

Lattice parameters (Å, degrees): 2.900 4.419 8.202 91.37 79.82 70.84
Each line ends with the local moment (μB).
Element x y z (fractional)
Mo  0.893  0.791  0.423  -0.14
Mo  0.107  0.209  0.577  -0.14
Fe  0.112  0.715  0.060  2.62
Fe  0.888  0.285  0.940  2.62
Au  0.292  0.194  0.222  0.02
Au  0.708  0.806  0.778  0.02

Properties
- energy above the lowest structure with this stoichiometry (kJ/mol of formula units) = 59
- energy relative to the elements (eV/atom) = 0.444
- density (g/cm3) = 11.899
- M_tot (μB/f.u.) = 2.48
- DOS at the Fermi energy (states/eV/f.u.) = 2.883

***

An optimized crystal structure of FeMo2Au, computed with PBE.

Lattice parameters (Å, degrees): 2.771 3.845 5.617 90.00 90.00 90.00
Element x y z (fractional)
Au  0.500  0.500  0.250
Fe  0.500  0.500  0.750
Mo  0.000  0.000  0.968
Mo  0.000  0.000  0.532

Properties
- energy above the lowest structure with this stoichiometry (kJ/mol of formula units) = 16
- energy relative to the elements (eV/atom) = 0.206
- density (g/cm3) = 12.335
- M_tot (μB/f.u.) = 0.00
- DOS at the Fermi energy (states/eV/f.u.) = 3.373

***

An optimized crystal structure of FeMoAu2, computed with PBE.

Lattice parameters (Å, degrees): 4.143 2.731 6.285 64.48 90.00 90.00
Each line ends with the local moment (μB).
Element x y z (fractional)
Au  0.000  0.000  0.002  0.01
Au  0.000  0.500  0.498  0.01
Fe  0.500  0.250  0.250  2.90
Mo  0.500  0.750  0.750  -0.17

Properties
- energy above the lowest structure with this stoichiometry (kJ/mol of formula units) = 46
- energy relative to the elements (eV/atom) = 0.300
- density (g/cm3) = 14.119
- M_tot (μB/f.u.) = 2.75
- DOS at the Fermi energy (states/eV/f.u.) = 4.074

***

An optimized crystal structure of FeMo2Au, computed with PBE.

Lattice parameters (Å, degrees): 4.798 4.798 5.020 82.91 82.91 32.52
Each line ends with the local moment (μB).
Element x y z (fractional)
Au  0.503  0.503  0.490  0.01
Fe  0.249  0.249  0.251  2.51
Mo  0.994  0.994  0.004  -0.02
Mo  0.754  0.754  0.755  -0.06

Properties
- energy above the lowest structure with this stoichiometry (kJ/mol of formula units) = 46
- energy relative to the elements (eV/atom) = 0.283
- density (g/cm3) = 11.984
- M_tot (μB/f.u.) = 2.44
- DOS at the Fermi energy (states/eV/f.u.) = 3.343

***

An optimized crystal structure of FeMoAu2, computed with PBE.

Lattice parameters (Å, degrees): 6.390 5.016 2.728 89.99 64.75 121.40
Each line ends with the local moment (μB).
Element x y z (fractional)
Au  0.000  0.000  0.000  0.01
Au  0.500  0.000  0.500  0.01
Fe  0.000  0.500  0.500  2.96
Mo  0.500  0.500  0.000  -0.22

Properties
- energy above the lowest structure with this stoichiometry (kJ/mol of formula units) = 52
- energy relative to the elements (eV/atom) = 0.316
- density (g/cm3) = 14.017
- M_tot (μB/f.u.) = 2.74
- DOS at the Fermi energy (states/eV/f.u.) = 3.608

***

An optimized crystal structure of FeMo2Au, computed with PBE.

Lattice parameters (Å, degrees): 2.728 2.728 7.972 90.00 90.00 90.00
Element x y z (fractional)
Au  0.500  0.500  0.250
Fe  0.500  0.500  0.750
Mo  0.000  0.000  0.967
Mo  0.000  0.000  0.533

Properties
- energy above the lowest structure with this stoichiometry (kJ/mol of formula units) = 0
- energy relative to the elements (eV/atom) = 0.164
- density (g/cm3) = 12.449
- M_tot (μB/f.u.) = 0.00
- DOS at the Fermi energy (states/eV/f.u.) = 2.748